1.
# BeZn2Te GGA-PBE relaxed
data_BeZn2Te
_chemical_formula_sum 'Be2 Zn4 Te2'
_cell_length_a 4.892
_cell_length_b 7.978
_cell_length_c 4.005
_cell_angle_alpha 90.00
_cell_angle_beta 90.00
_cell_angle_gamma 90.00
_space_group_name_H-M_alt 'C m m m'
_space_group_IT_number 65
_space_group_name_Hall '-C 2 2'
loop_
_atom_site_label
_atom_site_type_symbol
_atom_site_fract_x
_atom_site_fract_y
_atom_site_fract_z
_atom_site_occupancy
Be1 Be 0.000 0.000 0.000 1
Zn1 Zn 0.250 0.250 0.500 1
Te1 Te 0.000 0.500 0.000 1
# Excess energy over the best structure of this formula in the dataset = 204 meV/atom
# Total magnetic moment = 0.000 μB per atom
# ΔE_f (raw) = 0.391 eV per atom
# Electronic total energy = -1.9631 eV per atom

2.
# Be2ZnTe GGA-PBE relaxed
data_Be2ZnTe
_chemical_formula_sum 'Be8 Zn4 Te4'
_cell_length_a 5.981
_cell_length_b 5.981
_cell_length_c 9.004
_cell_angle_alpha 90.00
_cell_angle_beta 90.00
_cell_angle_gamma 90.00
_space_group_name_H-M_alt 'I -4 2 d'
_space_group_IT_number 122
_space_group_name_Hall 'I -4 2bw'
loop_
_atom_site_label
_atom_site_type_symbol
_atom_site_fract_x
_atom_site_fract_y
_atom_site_fract_z
_atom_site_occupancy
Be1 Be 0.249 0.250 0.125 1
Zn1 Zn 0.000 0.000 0.500 1
Te1 Te 0.000 0.000 0.000 1
# Excess energy over the best structure of this formula in the dataset = 252 meV/atom
# Total magnetic moment = 0.000 μB per atom
# ΔE_f (raw) = 0.468 eV per atom
# Electronic total energy = -2.4991 eV per atom

3.
# Be4ZnTe GGA-PBE relaxed
data_Be4ZnTe
_chemical_formula_sum 'Be16 Zn4 Te4'
_cell_length_a 6.760
_cell_length_b 6.760
_cell_length_c 6.760
_cell_angle_alpha 90.00
_cell_angle_beta 90.00
_cell_angle_gamma 90.00
_space_group_name_H-M_alt 'F -4 3 m'
_space_group_IT_number 216
_space_group_name_Hall 'F -4 2 3'
loop_
_atom_site_label
_atom_site_type_symbol
_atom_site_fract_x
_atom_site_fract_y
_atom_site_fract_z
_atom_site_occupancy
Be1 Be 0.122 0.122 0.122 1
Zn1 Zn 0.250 0.250 0.750 1
Te1 Te 0.000 0.000 0.500 1
# Total magnetic moment = 0.000 μB per atom
# ΔE_f (raw) = 0.533 eV per atom
# Electronic total energy = -2.6869 eV per atom

4.
# Be2ZnTe GGA-PBE relaxed
data_Be2ZnTe
_chemical_formula_sum 'Be8 Zn4 Te4'
_cell_length_a 6.463
_cell_length_b 6.463
_cell_length_c 6.463
_cell_angle_alpha 90.00
_cell_angle_beta 90.00
_cell_angle_gamma 90.00
_space_group_name_H-M_alt 'F -4 3 m'
_space_group_IT_number 216
_space_group_name_Hall 'F -4 2 3'
loop_
_atom_site_label
_atom_site_type_symbol
_atom_site_fract_x
_atom_site_fract_y
_atom_site_fract_z
_atom_site_occupancy
Be1 Be 0.000 0.000 0.000 1
Be2 Be 0.250 0.250 0.250 1
Zn1 Zn 0.000 0.000 0.500 1
Te1 Te 0.250 0.250 0.750 1
# Excess energy over the best structure of this formula in the dataset = 642 meV/atom
# Total magnetic moment = 0.000 μB per atom
# ΔE_f (raw) = 0.858 eV per atom
# Electronic total energy = -2.1091 eV per atom

5.
# BeZnTe3 GGA-PBE relaxed
data_BeZnTe3
_chemical_formula_sum 'Be1 Zn1 Te3'
_cell_length_a 5.271
_cell_length_b 5.271
_cell_length_c 5.271
_cell_angle_alpha 90.00
_cell_angle_beta 90.00
_cell_angle_gamma 90.00
_space_group_name_H-M_alt 'P m -3 m'
_space_group_IT_number 221
_space_group_name_Hall '-P 4 2 3'
loop_
_atom_site_label
_atom_site_type_symbol
_atom_site_fract_x
_atom_site_fract_y
_atom_site_fract_z
_atom_site_occupancy
Be1 Be 0.000 0.000 0.000 1
Zn1 Zn 0.500 0.500 0.500 1
Te1 Te 0.000 0.500 0.500 1
# Excess energy over the best structure of this formula in the dataset = 461 meV/atom
# Total magnetic moment = 0.000 μB per atom
# ΔE_f (raw) = 0.916 eV per atom
# Electronic total energy = -1.9687 eV per atom

6.
# BeZn2Te GGA-PBE relaxed
data_BeZn2Te
_chemical_formula_sum 'Be4 Zn8 Te4'
_cell_length_a 6.713
_cell_length_b 6.713
_cell_length_c 6.713
_cell_angle_alpha 90.00
_cell_angle_beta 90.00
_cell_angle_gamma 90.00
_space_group_name_H-M_alt 'F m -3 m'
_space_group_IT_number 225
_space_group_name_Hall '-F 4 2 3'
loop_
_atom_site_label
_atom_site_type_symbol
_atom_site_fract_x
_atom_site_fract_y
_atom_site_fract_z
_atom_site_occupancy
Be1 Be 0.000 0.000 0.000 1
Zn1 Zn 0.250 0.250 0.250 1
Te1 Te 0.000 0.000 0.500 1
# Excess energy over the best structure of this formula in the dataset = 429 meV/atom
# Total magnetic moment = 0.000 μB per atom
# ΔE_f (raw) = 0.616 eV per atom
# Electronic total energy = -1.7378 eV per atom

7.
# Be2ZnTe GGA-PBE relaxed
data_Be2ZnTe
_chemical_formula_sum 'Be2 Zn1 Te1'
_cell_length_a 3.443
_cell_length_b 3.443
_cell_length_c 5.369
_cell_angle_alpha 90.00
_cell_angle_beta 90.00
_cell_angle_gamma 90.00
_space_group_name_H-M_alt 'P 4/m m m'
_space_group_IT_number 123
_space_group_name_Hall '-P 4 2'
loop_
_atom_site_label
_atom_site_type_symbol
_atom_site_fract_x
_atom_site_fract_y
_atom_site_fract_z
_atom_site_occupancy
Be1 Be 0.000 0.000 0.208 1
Zn1 Zn 0.500 0.500 0.000 1
Te1 Te 0.500 0.500 0.500 1
# Excess energy over the best structure of this formula in the dataset = 379 meV/atom
# Total magnetic moment = 0.000 μB per atom
# ΔE_f (raw) = 0.594 eV per atom
# Electronic total energy = -2.3727 eV per atom

8.
# ZrBeTe2 GGA-PBE relaxed
data_ZrBeTe2
_chemical_formula_sum 'Zr1 Be1 Te2'
_cell_length_a 4.889
_cell_length_b 4.889
_cell_length_c 3.594
_cell_angle_alpha 90.00
_cell_angle_beta 90.00
_cell_angle_gamma 90.00
_space_group_name_H-M_alt 'P 4/m m m'
_space_group_IT_number 123
_space_group_name_Hall '-P 4 2'
loop_
_atom_site_label
_atom_site_type_symbol
_atom_site_fract_x
_atom_site_fract_y
_atom_site_fract_z
_atom_site_occupancy
Zr1 Zr 0.000 0.000 0.000 1
Be1 Be 0.500 0.500 0.000 1
Te1 Te 0.000 0.500 0.500 1
# Total magnetic moment = 0.000 μB per atom
# ΔE_f (raw) = 0.056 eV per atom
# Electronic total energy = -4.5831 eV per atom